Below is K3La2MnO6 after structural relaxation, with properties calculated at the PBE+U level.

total energy: -75.5 eV per cell
D(E_F): 0.0 states/eV/f.u.
calculated density: 4.47 Mg/m³

Cell: 6.0848 6.0848 6.6005 Å, 99.25 99.25 118.94°
Each line ends with the local moment (μB).
Sites, in units of the cell vectors:
1 O 0.9417 0.6550 0.8242  0.01
2 O 0.3450 0.0583 0.1758  0.01
3 O 0.0583 0.3450 0.1758  0.01
4 O 0.6550 0.9417 0.8242  0.01
5 O 0.2625 0.2625 0.7971  0.02
6 O 0.7375 0.7375 0.2029  0.02
7 K 0.8434 0.1566 0.5000  0.00
8 K 0.1566 0.8434 0.5000  0.00
9 K 0.5000 0.5000 0.5000  0.00
10 Mn 0.0000 0.0000 0.0000  -2.04
11 La 0.3343 0.6657 0.0000  0.00
12 La 0.6657 0.3343 0.0000  0.00